(1)
A relaxed structure of KInHg2Br4, computed with PBE-GGA.

crystal system = triclinic
E_form (uncorrected) = -0.820 eV per atom

Lattice parameters (Å, degrees): 7.0027 7.3677 8.2076 75.49 64.95 61.74
Space group P1 (No. 1)
Inequivalent atoms, fractional coordinates:
K1 0.0000 0.0000 0.0000 (multiplicity 1)
In1 0.1878 0.2493 0.3097 (multiplicity 1)
Hg1 0.1610 0.5510 0.7713 (multiplicity 1)
Hg2 0.6701 0.5383 0.7770 (multiplicity 1)
Br1 0.1881 0.6007 0.2819 (multiplicity 1)
Br2 0.3275 0.0322 0.5654 (multiplicity 1)
Br3 0.4800 0.0484 0.0253 (multiplicity 1)
Br4 0.7952 0.2852 0.3431 (multiplicity 1)

(2)
A relaxed structure of Tm4CdCu2Rh, computed with PBE-GGA.

crystal system = trigonal
calculated formation energy = -458 meV per atom

Lattice parameters (Å, degrees): 4.9281 4.9281 24.1314 90.00 90.00 120.00
Space group R-3m (No. 166, hexagonal axes)
Inequivalent atoms, fractional coordinates:
Tm1 0.0000 0.0000 0.1173 (multiplicity 6)
Tm2 0.0000 0.0000 0.3691 (multiplicity 6)
Cd1 0.0000 0.0000 0.5000 (multiplicity 3)
Cu1 0.0000 0.0000 0.2436 (multiplicity 6)
Rh1 0.0000 0.0000 0.0000 (multiplicity 3)

(3)
A relaxed structure of ReAu2Cl, computed with PBE-GGA.

crystal system = tetragonal
E_form (uncorrected) = 1.105 eV per atom

Lattice parameters (Å, degrees): 3.8919 3.8919 4.8727 90.00 90.00 90.00
Space group P4/mmm (No. 123)
Inequivalent atoms, fractional coordinates:
Re1 0.0000 0.0000 0.0000 (multiplicity 1)
Au1 0.0000 0.5000 0.5000 (multiplicity 2)
Cl1 0.5000 0.5000 0.0000 (multiplicity 1)

(4)
A relaxed structure of Hf2VMo, computed with PBE-GGA.

crystal system = cubic
calculated formation energy = 31 meV per atom

Lattice parameters (Å, degrees): 6.6632 6.6632 6.6632 90.00 90.00 90.00
Space group Fm-3m (No. 225)
Inequivalent atoms, fractional coordinates:
Hf1 0.2500 0.2500 0.2500 (multiplicity 8)
V1 0.0000 0.0000 0.0000 (multiplicity 4)
Mo1 0.0000 0.0000 0.5000 (multiplicity 4)

(5)
A relaxed structure of Th2Pa2Ru5, computed with PBE-GGA.

crystal system = orthorhombic
calculated formation energy = -326 meV per atom

Lattice parameters (Å, degrees): 13.4648 7.3354 8.0855 90.00 90.00 90.00
Space group Cmce (No. 64)
Inequivalent atoms, fractional coordinates:
Th1 0.2103 0.0000 0.0000 (multiplicity 8)
Pa1 0.0000 0.1539 0.3235 (multiplicity 8)
Ru1 0.0000 0.0000 0.0000 (multiplicity 4)
Ru2 0.1106 0.1624 0.6058 (multiplicity 16)

(6)
A relaxed structure of YScAl2, computed with PBE-GGA.

crystal system = orthorhombic
calculated formation energy = 456 meV per atom

Lattice parameters (Å, degrees): 3.1154 5.2946 11.8936 90.00 90.00 90.00
Space group Immm (No. 71)
Inequivalent atoms, fractional coordinates:
Y1 0.0000 0.0000 0.0000 (multiplicity 2)
Sc1 0.0000 0.0000 0.5000 (multiplicity 2)
Al1 0.0000 0.0000 0.2591 (multiplicity 4)